Entry 1:
This record from OQMD via LeMat-Bulk describes a relaxed structure of NaDyHgS3. The functional is PBE-GGA.

a b c (Å): 7.880 4.065 16.717
angles (deg): 90.00 90.00 90.00
Element x y z (fractional)
Na: 0.424 0.750 0.309
S: 0.623 0.750 0.561
S: 0.123 0.750 0.939
S: 0.212 0.250 0.205
Hg: 0.442 0.750 0.834
Hg: 0.058 0.250 0.334
Dy: 0.226 0.250 0.036
Dy: 0.274 0.750 0.536
Hg: 0.558 0.250 0.166
S: 0.012 0.250 0.574
Hg: 0.942 0.750 0.666
S: 0.512 0.250 0.926
Na: 0.576 0.250 0.691
Na: 0.076 0.250 0.809
S: 0.712 0.250 0.295
S: 0.788 0.750 0.795
Na: 0.924 0.750 0.191
Dy: 0.726 0.250 0.464
S: 0.288 0.750 0.705
S: 0.488 0.750 0.074
S: 0.988 0.750 0.426
S: 0.877 0.250 0.061
S: 0.377 0.250 0.439
Dy: 0.774 0.750 0.964

Symmetry: Pnma
Size of the total moment in μB/cell: 0.00
Energy relative to the lowest polymorph listed for this composition in meV/atom: 56

---

Entry 2:
This record from OQMD via LeMat-Bulk describes a relaxed structure of NaDyHgS3. The functional is PBE-GGA.

a b c (Å): 6.968 6.968 10.748
angles (deg): 90.00 90.00 33.70
Element x y z (fractional)
Na: 0.743 0.743 0.250
S: 0.082 0.082 0.250
S: 0.918 0.918 0.750
Dy: 0.000 0.000 0.500
Hg: 0.454 0.454 0.250
S: 0.637 0.637 0.548
S: 0.363 0.363 0.452
S: 0.363 0.363 0.048
Na: 0.257 0.257 0.750
Hg: 0.546 0.546 0.750
S: 0.637 0.637 0.952
Dy: 0.000 0.000 0.000

Symmetry: Cmcm
Size of the total moment in μB/cell: 0.01
Energy relative to the lowest polymorph listed for this composition in meV/atom: 31

---

Entry 3:
This record from OQMD via LeMat-Bulk describes a relaxed structure of NaDyHgS3. The functional is PBE-GGA.

a b c (Å): 11.578 3.990 12.488
angles (deg): 90.00 90.00 90.00
Element x y z (fractional)
Dy: 0.832 0.500 0.553
Dy: 0.168 0.000 0.447
S: 0.856 0.500 0.765
S: 0.839 0.000 0.063
Hg: 0.294 0.500 0.233
S: 0.339 0.500 0.437
S: 0.644 0.500 0.265
S: 0.661 0.000 0.563
S: 0.922 0.000 0.426
S: 0.422 0.500 0.074
S: 0.578 0.000 0.926
S: 0.161 0.500 0.937
Na: 0.512 0.000 0.374
Na: 0.012 0.500 0.126
Hg: 0.706 0.000 0.767
S: 0.144 0.000 0.235
Na: 0.988 0.000 0.874
Dy: 0.668 0.500 0.053
S: 0.078 0.500 0.574
Hg: 0.206 0.500 0.733
Hg: 0.794 0.000 0.267
S: 0.356 0.000 0.735
Na: 0.488 0.500 0.626
Dy: 0.332 0.000 0.947

Symmetry: Pnma
Size of the total moment in μB/cell: 0.00
Energy relative to the lowest polymorph listed for this composition in meV/atom: 9

---

Entry 4:
This record from OQMD via LeMat-Bulk describes a relaxed structure of NaDyHgTe3. The functional is PBE-GGA.

a b c (Å): 10.424 10.424 9.166
angles (deg): 102.22 102.22 23.94
Element x y z (fractional)
Hg: 0.457 0.457 0.775
Dy: 0.823 0.823 0.911
Na: 0.124 0.124 0.580
Te: 0.671 0.671 0.853
Hg: 0.543 0.543 0.225
Te: 0.685 0.685 0.335
Te: 0.315 0.315 0.665
Dy: 0.177 0.177 0.089
Na: 0.876 0.876 0.420
Te: 0.329 0.329 0.147
Te: 0.500 0.500 0.500
Te: 0.000 0.000 0.000

Symmetry: C2/m
Size of the total moment in μB/cell: 0.01
Energy relative to the lowest polymorph listed for this composition in meV/atom: 56

---

Entry 5:
This record from OQMD via LeMat-Bulk describes a relaxed structure of NaDyHgTe3. The functional is PBE-GGA.

a b c (Å): 7.760 7.760 11.698
angles (deg): 90.00 90.00 32.80
Element x y z (fractional)
Te: 0.642 0.642 0.553
Dy: 0.000 0.000 0.000
Dy: 0.000 0.000 0.500
Te: 0.907 0.907 0.750
Te: 0.358 0.358 0.447
Hg: 0.533 0.533 0.750
Te: 0.093 0.093 0.250
Na: 0.772 0.772 0.250
Te: 0.358 0.358 0.053
Te: 0.642 0.642 0.947
Na: 0.228 0.228 0.750
Hg: 0.467 0.467 0.250

Symmetry: Cmcm
Size of the total moment in μB/cell: 0.00
Energy relative to the lowest polymorph listed for this composition in meV/atom: 0

---

Entry 6:
This record from OQMD via LeMat-Bulk describes a relaxed structure of NaDyHgTe3. The functional is PBE-GGA.

a b c (Å): 4.407 13.292 13.439
angles (deg): 90.00 90.00 90.00
Element x y z (fractional)
Na: 0.750 0.996 0.143
Hg: 0.250 0.795 0.259
Te: 0.250 0.349 0.726
Te: 0.250 0.151 0.226
Te: 0.750 0.343 0.450
Dy: 0.250 0.174 0.449
Te: 0.750 0.849 0.774
Dy: 0.250 0.326 0.949
Hg: 0.750 0.205 0.741
Te: 0.250 0.657 0.550
Te: 0.750 0.072 0.579
Te: 0.250 0.572 0.921
Na: 0.750 0.504 0.643
Te: 0.250 0.843 0.050
Te: 0.250 0.928 0.421
Te: 0.750 0.428 0.079
Te: 0.750 0.157 0.950
Na: 0.250 0.004 0.857
Hg: 0.250 0.705 0.759
Hg: 0.750 0.295 0.241
Te: 0.750 0.651 0.274
Dy: 0.750 0.826 0.551
Dy: 0.750 0.674 0.051
Na: 0.250 0.496 0.357

Symmetry: Pnma
Size of the total moment in μB/cell: 0.00
Energy relative to the lowest polymorph listed for this composition in meV/atom: 38

---

Entry 7:
This record from OQMD via LeMat-Bulk describes a relaxed structure of NaDyHgTe3. The functional is PBE-GGA.

a b c (Å): 8.949 4.497 18.497
angles (deg): 90.00 90.00 90.00
Element x y z (fractional)
Hg: 0.457 0.250 0.333
Te: 0.509 0.750 0.428
Dy: 0.221 0.750 0.538
Te: 0.716 0.750 0.793
Na: 0.427 0.250 0.804
Hg: 0.957 0.250 0.167
Hg: 0.543 0.750 0.667
Te: 0.376 0.750 0.935
Te: 0.784 0.250 0.293
Te: 0.624 0.250 0.065
Na: 0.573 0.750 0.196
Te: 0.991 0.250 0.928
Te: 0.491 0.250 0.572
Te: 0.009 0.750 0.072
Dy: 0.779 0.250 0.462
Te: 0.216 0.750 0.707
Na: 0.073 0.750 0.304
Te: 0.876 0.750 0.565
Na: 0.927 0.250 0.696
Dy: 0.721 0.750 0.962
Hg: 0.043 0.750 0.833
Dy: 0.279 0.250 0.038
Te: 0.124 0.250 0.435
Te: 0.284 0.250 0.207

Symmetry: Pnma
Size of the total moment in μB/cell: 0.00
Energy relative to the lowest polymorph listed for this composition in meV/atom: 68

---

Entry 8:
This record from OQMD via LeMat-Bulk describes a relaxed structure of NaDyHgTe3. The functional is PBE-GGA.

a b c (Å): 11.693 4.385 14.880
angles (deg): 90.00 90.00 90.00
Element x y z (fractional)
Dy: 0.487 0.250 0.746
Hg: 0.741 0.750 0.782
Te: 0.933 0.750 0.896
Na: 0.770 0.750 0.478
Na: 0.730 0.250 0.978
Na: 0.230 0.250 0.522
Te: 0.040 0.750 0.612
Te: 0.433 0.750 0.604
Dy: 0.013 0.750 0.246
Hg: 0.759 0.250 0.282
Dy: 0.987 0.250 0.754
Te: 0.738 0.250 0.656
Te: 0.262 0.750 0.344
Te: 0.567 0.250 0.396
Te: 0.960 0.250 0.388
Na: 0.270 0.750 0.022
Te: 0.762 0.750 0.156
Hg: 0.259 0.250 0.218
Te: 0.238 0.250 0.844
Dy: 0.513 0.750 0.254
Te: 0.067 0.250 0.104
Te: 0.460 0.250 0.112
Hg: 0.241 0.750 0.718
Te: 0.540 0.750 0.888

Symmetry: Pnma
Size of the total moment in μB/cell: 0.02
Energy relative to the lowest polymorph listed for this composition in meV/atom: 1

---

Entry 9:
This record from OQMD via LeMat-Bulk describes a relaxed structure of NaDyHgTe3. The functional is PBE-GGA.

a b c (Å): 14.808 4.411 11.952
angles (deg): 90.00 90.00 90.00
Element x y z (fractional)
Dy: 0.486 0.250 0.843
Te: 0.150 0.250 0.262
Dy: 0.014 0.750 0.343
Te: 0.611 0.750 0.931
Na: 0.230 0.750 0.075
Na: 0.270 0.250 0.575
Hg: 0.511 0.250 0.398
Te: 0.350 0.750 0.762
Te: 0.385 0.750 0.377
Te: 0.850 0.750 0.738
Te: 0.389 0.250 0.069
Te: 0.615 0.250 0.623
Te: 0.650 0.250 0.238
Te: 0.889 0.250 0.431
Hg: 0.489 0.750 0.602
Hg: 0.989 0.750 0.898
Na: 0.770 0.250 0.925
Te: 0.885 0.750 0.123
Hg: 0.011 0.250 0.102
Na: 0.730 0.750 0.425
Dy: 0.514 0.750 0.157
Te: 0.111 0.750 0.569
Dy: 0.986 0.250 0.657
Te: 0.115 0.250 0.877

Symmetry: Pnma
Size of the total moment in μB/cell: 0.01
Energy relative to the lowest polymorph listed for this composition in meV/atom: 3

---

Entry 10:
This record from OQMD via LeMat-Bulk describes a relaxed structure of NaDyHgTe3. The functional is PBE-GGA.

a b c (Å): 8.669 4.410 10.616
angles (deg): 90.00 104.49 90.00
Element x y z (fractional)
Te: 0.927 0.750 0.133
Hg: 0.091 0.250 0.608
Dy: 0.675 0.250 0.147
Dy: 0.325 0.750 0.853
Na: 0.219 0.250 0.255
Te: 0.731 0.250 0.462
Na: 0.781 0.750 0.745
Te: 0.269 0.750 0.538
Te: 0.431 0.750 0.152
Te: 0.073 0.250 0.867
Hg: 0.909 0.750 0.392
Te: 0.569 0.250 0.848

Symmetry: P2_1/m
Size of the total moment in μB/cell: 0.02
Energy relative to the lowest polymorph listed for this composition in meV/atom: 5

---

Entry 11:
This record from OQMD via LeMat-Bulk describes a relaxed structure of Dy4Ni2Hg5. The functional is PBE-GGA.

a b c (Å): 7.525 3.609 9.354
angles (deg): 90.00 93.63 90.00
Element x y z (fractional)
Dy: 0.278 0.500 0.564
Hg: 0.056 0.000 0.333
Ni: 0.434 0.000 0.372
Hg: 0.000 0.000 0.000
Ni: 0.566 0.000 0.628
Hg: 0.944 0.000 0.667
Dy: 0.722 0.500 0.436
Hg: 0.335 0.000 0.856
Dy: 0.323 0.500 0.158
Dy: 0.677 0.500 0.842
Hg: 0.665 0.000 0.144

Formation energy from the elements in eV/f.u.: -5.0
Symmetry: P2/m
Size of the total moment in μB/cell: 0.01

---

Entry 12:
This record from OQMD via LeMat-Bulk describes a relaxed structure of Dy3HgO. The functional is PBE-GGA.

a b c (Å): 4.747 4.747 4.747
angles (deg): 90.00 90.00 90.00
Element x y z (fractional)
O: 0.500 0.500 0.500
Dy: 0.500 0.500 0.000
Hg: 0.000 0.000 0.000
Dy: 0.500 0.000 0.500
Dy: 0.000 0.500 0.500

Symmetry: Pm-3m
Size of the total moment in μB/cell: 0.00

---

no.,E (eV/cell)
1,-101.25
2,-50.92
3,-102.37
4,-40.95
5,-41.62
6,-82.34
7,-81.60
8,-83.21
9,-83.18
10,-41.57
11,-36.02
12,-26.02